The following is a DFT calculation (GGA-PBE) of a geometry-optimized OsRuF3 structure.

Structure (POSCAR):
```
OsRuF3
1.0
4.1968 0.0000 0.0000
0.0000 4.1968 0.0000
0.0000 0.0000 4.1968
Ru Os F
1 1 3
Cartesian
2.0984 2.0984 2.0984 Ru
0.0000 0.0000 0.0000 Os
0.0000 2.0984 0.0000 F
0.0000 0.0000 2.0984 F
2.0984 0.0000 0.0000 F
```

* ΔE to the lowest computed polymorph: 0 meV per atom
* energy relative to the elements, uncorrected: 0.293 eV/atom